# 1
This record from Alexandria describes crystalline CaGa2Cl at its relaxed geometry. The functional is PBE-GGA.

The relative energy among the computed polymorphs comes out at 0.00 eV/f.u. As for the energy relative to the elements, uncorrected: -0.44 eV/atom. As for the total moment: 0.00 μB per formula unit.

Lattice parameters (Å, degrees): 9.6775 9.6775 5.1338 90.00 90.00 90.00
Last column: nearest neighbours and their distance in Å.
Space group I-42d (No. 122)
Symmetry-distinct sites (fractional):
Ca  0.0000  0.0000  0.0000  2 Cl 2.57
Ga  0.2189  0.2500  0.1250  2 Ga 2.64
Cl  0.0000  0.0000  0.5000  2 Ca 2.57

# 2
This record from Alexandria describes crystalline Pm2CoOs at its relaxed geometry. The functional is PBE-GGA.

The relative energy among the computed polymorphs comes out at 0.00 eV/f.u. The formation energy from the elements is -89 meV/atom. As for the total moment: 0.83 μB per formula unit.

Lattice parameters (Å, degrees): 4.1219 4.1219 21.0758 90.00 90.00 120.00
Last column: nearest neighbours and their distance in Å.
Space group R3m (No. 160, hexagonal axes)
Symmetry-distinct sites (fractional):
Pm  0.0000  0.0000  0.0000  3 Co 3.00, 3 Os 3.04
Pm  0.0000  0.0000  0.1770  3 Os 3.01, 3 Co 3.05
Co  0.0000  0.0000  0.4201  3 Os 2.38
Os  0.0000  0.0000  0.7564  3 Co 2.38

# 3
This record from Alexandria describes crystalline YCo4Sn at its relaxed geometry. The functional is PBE-GGA.

The formation energy from the elements is -136 meV/atom. As for the total moment: 5.14 μB per formula unit.

Lattice parameters (Å, degrees): 7.0782 7.0782 7.0782 90.00 90.00 90.00
Last column: nearest neighbours and their distance in Å.
Space group F-43m (No. 216)
Symmetry-distinct sites (fractional):
Y  0.0000  0.0000  0.0000  12 Co 2.94, 4 Sn 3.06
Co  0.1246  0.1246  0.3754  6 Co 2.49-2.51
Sn  0.2500  0.2500  0.7500  12 Co 2.93, 4 Y 3.06

# 4
This record from Alexandria describes crystalline Li2Tm2Rh3 at its relaxed geometry. The functional is PBE-GGA.

The formation energy from the elements is -561 meV/atom. As for the total moment: 0.00 μB per formula unit.

Lattice parameters (Å, degrees): 3.3011 23.1708 3.2319 90.00 90.00 90.00
Last column: nearest neighbours and their distance in Å.
Space group Cmmm (No. 65)
Symmetry-distinct sites (fractional):
Li  0.0000  0.2060  0.0000  2 Li 2.62, 4 Rh 2.68
Tm  0.0000  0.0771  0.0000  8 Rh 2.83-2.92, 1 Li 2.99
Rh  0.0000  0.3524  0.5000  4 Li 2.68, 4 Tm 2.83
Rh  0.0000  0.5000  0.5000  8 Tm 2.92, 2 Rh 3.23

# 5
This record from Alexandria describes crystalline Y12BiRu6 at its relaxed geometry. The functional is PBE-GGA.

The formation energy from the elements is -324 meV/atom. As for the total moment: 0.00 μB per formula unit.

Lattice parameters (Å, degrees): 9.9130 9.9130 9.9130 90.00 90.00 90.00
Last column: nearest neighbours and their distance in Å.
Space group Im-3 (No. 204)
Symmetry-distinct sites (fractional):
Y  0.0000  0.2977  0.1967  1 Ru 2.69
Bi  0.0000  0.0000  0.0000  12 Y 3.54
Ru  0.0000  0.1226  0.5000  1 Ru 2.43, 2 Y 2.69

# 6
This record from Alexandria describes crystalline TaCdIr at its relaxed geometry. The functional is PBE-GGA.

The relative energy among the computed polymorphs comes out at 0.09 eV/f.u. The formation energy from the elements is -85 meV/atom. As for the total moment: 0.00 μB per formula unit.

Lattice parameters (Å, degrees): 2.9437 3.7846 9.5417 90.00 90.00 90.00
Last column: nearest neighbours and their distance in Å.
Space group Pmmm (No. 47)
Symmetry-distinct sites (fractional):
Ta  0.0000  0.0000  0.1841  4 Ir 2.71, 2 Ta 2.94, 5 Cd 2.97-3.01
Cd  0.0000  0.0000  0.5000  2 Cd 2.94, 8 Ir 2.97, 2 Ta 3.01
Cd  0.5000  0.5000  0.0000  2 Cd 2.94, 8 Ta 2.97, 2 Ir 3.01
Ir  0.5000  0.5000  0.3159  4 Ta 2.71, 2 Ir 2.94, 5 Cd 2.97-3.01